5
Lattice="3.936 0.000 0.000 0.000 3.936 0.000 0.000 0.000 5.916" Properties=species:S:1:pos:R:3 comment="PBE-GGA TeMoSeN2, relaxed" dos_at_fermi_per_ev_fu=4.64 e_form_raw_mev_per_atom=555 de_polymorph_ev_per_atom=0.0000 magmom_total_mub_per_atom=0.00 pbc="T T T"
Te 0.000 0.000 0.000
Mo 0.000 0.000 2.958
Se 1.968 1.968 0.000
N 0.000 1.968 2.958
N 1.968 0.000 2.958

***

19
Lattice="9.050 -3.214 0.000 9.050 3.214 0.000 -0.319 0.000 8.595" Properties=species:S:1:pos:R:3 comment="PBE-GGA Li5Mg2Tl12, relaxed" dos_at_fermi_per_ev_fu=7.83 formation_energy_ev_per_atom=-0.04 magmom_total_mub_per_atom=0.00 pbc="T T T"
Li 0.000 0.000 0.000
Li 4.110 0.000 6.552
Li 5.326 0.000 2.197
Li 12.456 0.000 6.398
Li 13.671 0.000 2.043
Mg 8.891 1.549 4.297
Mg 8.891 -1.549 4.297
Tl 5.886 1.618 4.890
Tl 1.340 0.000 6.268
Tl 5.923 1.616 8.231
Tl 11.859 1.616 0.364
Tl 11.896 1.618 3.705
Tl 8.873 0.000 1.608
Tl 8.908 0.000 6.987
Tl 5.886 -1.618 4.890
Tl 5.923 -1.616 8.231
Tl 11.859 -1.616 0.364
Tl 16.441 0.000 2.327
Tl 11.896 -1.618 3.705

***

10
Lattice="7.266 0.000 0.000 0.000 7.266 0.000 0.000 0.000 5.578" Properties=species:S:1:pos:R:3 comment="PBE-GGA Rb2Ag2Pd, relaxed" dos_at_fermi_per_ev_fu=1.45 de_polymorph_ev_per_atom=0.1456 formation_energy_ev_per_atom=0.14 magmom_total_mub_per_atom=0.00 pbc="T T T"
Rb 1.309 2.324 0.000
Rb 2.324 5.957 0.000
Rb 4.942 1.309 0.000
Rb 5.957 4.942 0.000
Ag 1.019 4.652 2.789
Ag 2.614 1.019 2.789
Ag 4.652 6.247 2.789
Ag 6.247 2.614 2.789
Pd 0.000 0.000 2.789
Pd 3.633 3.633 2.789

***

5
Lattice="3.959 0.000 0.000 0.000 3.959 0.000 0.000 0.000 3.716" Properties=species:S:1:pos:R:3 comment="PBE-GGA MnCu2MoN, relaxed" dos_at_fermi_per_ev_fu=4.90 e_form_raw_mev_per_atom=562 magmom_total_mub_per_atom=0.00 pbc="T T T"
Mn 0.000 0.000 0.000
Cu 0.000 1.980 1.858
Cu 1.980 0.000 1.858
Mo 1.980 1.980 0.000
N 0.000 0.000 1.858

***

12
Lattice="7.315 0.000 0.000 0.159 7.785 0.000 0.010 0.003 9.595" Properties=species:S:1:pos:R:3 comment="PBE-GGA KTbSn2I8, relaxed" dos_at_fermi_per_ev_fu=0.00 e_form_raw_mev_per_atom=-924 magmom_total_mub_per_atom=0.00 pbc="T T T"
K 0.000 0.000 0.000
Tb 0.005 0.002 4.797
Sn 3.739 3.895 2.394
Sn 3.744 3.893 7.200
I 1.790 2.532 4.799
I 1.962 6.569 6.939
I 1.962 6.574 2.652
I 2.037 2.848 0.002
I 5.446 4.940 9.592
I 5.521 1.215 6.942
I 5.521 1.219 2.655
I 5.693 5.256 4.796

***

11
Lattice="0.000 4.758 4.758 4.758 0.000 4.758 4.758 4.758 0.000" Properties=species:S:1:pos:R:3 comment="PBE-GGA YRu2O8, relaxed" dos_at_fermi_per_ev_fu=9.45 e_form_raw_mev_per_atom=-1308 magmom_total_mub_per_atom=0.00 pbc="T T T"
Y 0.000 0.000 0.000
Ru 2.379 2.379 2.379
Ru 7.136 7.136 7.136
O 1.361 1.361 1.361
O 3.397 3.397 1.361
O 3.397 1.361 3.397
O 8.154 6.118 6.118
O 1.361 3.397 3.397
O 6.118 8.154 6.118
O 6.118 6.118 8.154
O 8.154 8.154 8.154

***

Number 1: calculated volume 91.6 Å³/cell. Number 2: calculated volume 500.1 Å³/cell. Number 3: calculated volume 294.5 Å³/cell. Number 4: calculated volume 58.3 Å³/cell. Number 5: calculated volume 546.4 Å³/cell. Number 6: calculated volume 215.4 Å³/cell.